Entry 1:
Entry from the Alexandria database: Tb2Pm2Tm3 after structural relaxation (PBE-GGA).

Polymorph energy (0 for the lowest one) ... 0 meV/atom
Calculated formation energy ... 0.02 eV/atom
Electronic total energy ... -4.577 eV per atom

a = 11.2084 Å, b = 5.0272 Å, c = 7.9625 Å
α = 90.00°, β = 98.24°, γ = 90.00°
Space group C2/m (No. 12)
One atom of each set of equivalent atoms:
Tb: 0.2136 0.0000 0.1438 [4 per cell]
Pm: 0.0714 0.0000 0.7144 [4 per cell]
Tm: 0.0000 0.5000 0.0000 [2 per cell]
Tm: 0.1433 0.5000 0.4282 [4 per cell]

=====

Entry 2:
Entry from the Alexandria database: Tb6Pm12Tm after structural relaxation (PBE-GGA).

Polymorph energy (0 for the lowest one) ... 195 meV/atom
Calculated formation energy ... 0.33 eV/atom
Electronic total energy ... -4.366 eV per atom

a = 16.1930 Å, b = 16.1930 Å, c = 8.6598 Å
α = 90.00°, β = 90.00°, γ = 120.00°
Space group R-3m (No. 166, hexagonal axes)
One atom of each set of equivalent atoms:
Tb: 0.0813 0.1625 0.1468 [18 per cell]
Pm: 0.0000 0.3843 0.0000 [18 per cell]
Pm: 0.0906 0.5453 0.3195 [18 per cell]
Tm: 0.0000 0.0000 0.5000 [3 per cell]

=====

Entry 3:
Entry from the Alexandria database: Tb2Pm3Tm3 after structural relaxation (PBE-GGA).

Polymorph energy (0 for the lowest one) ... 0 meV/atom
Calculated formation energy ... 0.02 eV/atom
Electronic total energy ... -4.595 eV per atom

a = 5.0266 Å, b = 5.0529 Å, c = 20.2022 Å
α = 90.00°, β = 90.00°, γ = 90.00°
Space group Immm (No. 71)
One atom of each set of equivalent atoms:
Tb: 0.0000 0.0000 0.2493 [4 per cell]
Pm: 0.0000 0.0000 0.0000 [2 per cell]
Pm: 0.0000 0.5000 0.1242 [4 per cell]
Tm: 0.0000 0.0000 0.5000 [2 per cell]
Tm: 0.0000 0.5000 0.3743 [4 per cell]

=====

Entry 4:
Entry from the Alexandria database: TbPm3Tm12 after structural relaxation (PBE-GGA).

Calculated formation energy ... 0.03 eV/atom
Electronic total energy ... -4.508 eV per atom

a = 4.9791 Å, b = 4.9791 Å, c = 19.9401 Å
α = 90.00°, β = 90.00°, γ = 90.00°
Space group P4/mmm (No. 123)
One atom of each set of equivalent atoms:
Tb: 0.0000 0.0000 0.0000 [1 per cell]
Pm: 0.0000 0.0000 0.2494 [2 per cell]
Pm: 0.0000 0.0000 0.5000 [1 per cell]
Tm: 0.0000 0.5000 0.1238 [4 per cell]
Tm: 0.0000 0.5000 0.3745 [4 per cell]
Tm: 0.5000 0.5000 0.0000 [1 per cell]
Tm: 0.5000 0.5000 0.2490 [2 per cell]
Tm: 0.5000 0.5000 0.5000 [1 per cell]

=====

Q: Which value of electronic total energy does entry 4 give?
A: -4.508 eV per atom